Computed, not measured: an optimized crystal structure of TaCu3B at the PBE level of DFT.

Summary:
space-group type	No. 221
energy	-5.7757	eV/atom
DOS(E_F)	0.4303	states/eV per atom
E above lowest polymorph	0	meV per atom
ΔE_f	0.39	eV per atom

abc: 3.9586 3.9586 3.9586
angles: 90.00 90.00 90.00
Positions (direct):
Ta1 0.0000 0.0000 0.0000
Cu1 0.0000 0.5000 0.5000
Cu2 0.5000 0.0000 0.5000
Cu3 0.5000 0.5000 0.0000
B1 0.5000 0.5000 0.5000